[1]
An optimized crystal structure of NiMo2Au, computed with PBE-GGA.

```
NiMo2Au
1.0
0.0000 3.1293 3.1293
3.1293 0.0000 3.1293
3.1293 3.1293 0.0000
Ni Mo Au
1 2 1
direct
0.0000 0.0000 0.0000
0.5000 0.5000 0.5000
0.7500 0.7500 0.7500
0.2500 0.2500 0.2500
```

## Properties
* relative energy among the computed polymorphs: 241 meV per atom
* theoretical density: 12.13 Mg/m³



[2]
An optimized crystal structure of LaY2ScTl4, computed with PBE-GGA.

```
LaY2ScTl4
1.0
2.6850 1.5502 8.8776
-2.6850 1.5502 8.8776
0.0000 -3.1004 8.8776
La Y Sc Tl
1 2 1 4
direct
0.0000 0.0000 0.0000
0.2479 0.2479 0.2479
0.7521 0.7521 0.7521
0.5000 0.5000 0.5000
0.1284 0.1284 0.1284
0.3794 0.3794 0.3794
0.6206 0.6206 0.6206
0.8716 0.8716 0.8716
```

## Properties
* VASP energy: -0.3338 Ry per atom
* theoretical density: 8.83 Mg/m³



[3]
An optimized crystal structure of CaYRu3, computed with PBE-GGA.

```
CaYRu3
1.0
4.9688 0.0000 0.0000
0.0000 4.9688 0.0000
0.0000 0.0000 4.9688
Ca Y Ru
1 1 3
direct
0.0000 0.0000 0.0000
0.5000 0.5000 0.5000
0.0000 0.5000 0.5000
0.5000 0.0000 0.5000
0.5000 0.5000 0.0000
```

## Properties
* relative energy among the computed polymorphs: 0 meV per atom
* theoretical density: 5.85 Mg/m³



[4]
An optimized crystal structure of PrSm2Ge3Pt4, computed with PBE-GGA.

```
PrSm2Ge3Pt4
1.0
4.3419 0.0000 0.0000
0.0000 4.3419 0.0000
0.0000 0.0000 11.3121
Pr Sm Ge Pt
1 2 3 4
direct
0.0000 0.0000 0.0000
0.0000 0.5000 0.7152
0.5000 0.0000 0.2848
0.0000 0.5000 0.3812
0.5000 0.0000 0.6188
0.5000 0.5000 0.0000
0.0000 0.0000 0.5000
0.0000 0.5000 0.1660
0.5000 0.0000 0.8340
0.5000 0.5000 0.5000
```

## Properties
* VASP energy: -0.4494 Ry per atom
* theoretical density: 11.21 Mg/m³



[5]
An optimized crystal structure of UTc5As6, computed with PBE-GGA.

```
UTc5As6
1.0
2.7444 -5.5712 0.0000
2.7444 5.5712 0.0000
-2.4173 0.0000 6.5948
U Tc As
1 5 6
direct
0.0000 0.0000 0.0000
0.1203 0.8797 0.5000
0.3071 0.6929 0.0000
0.5000 0.5000 0.5000
0.6929 0.3071 0.0000
0.8797 0.1203 0.5000
0.0844 0.4682 0.2951
0.3337 0.3337 0.7826
0.4682 0.0844 0.2951
0.5318 0.9156 0.7049
0.6663 0.6663 0.2174
0.9156 0.5318 0.7049
```

## Properties
* VASP energy: -0.5629 Ry per atom
* theoretical density: 9.70 Mg/m³



[6]
An optimized crystal structure of YCoMo, computed with PBE-GGA.

```
YCoMo
1.0
3.9756 0.0000 0.0000
-1.9878 3.4430 0.0000
0.0000 0.0000 4.3869
Y Co Mo
1 1 1
direct
0.0000 0.0000 0.0000
0.6667 0.3333 0.5000
0.3333 0.6667 0.5000
```

## Properties
* relative energy among the computed polymorphs: 0 meV per atom
* theoretical density: 6.74 Mg/m³



[7]
An optimized crystal structure of Pm2Mn2MoN6, computed with PBE-GGA.

```
Pm2Mn2MoN6
1.0
2.8369 1.6379 5.2046
-2.8369 1.6379 5.2046
0.0000 -3.2758 5.2046
Pm Mn Mo N
2 2 1 6
direct
0.2173 0.2173 0.2173
0.7827 0.7827 0.7827
0.4366 0.4366 0.4366
0.5634 0.5634 0.5634
0.0000 0.0000 0.0000
0.2393 0.7583 0.7583
0.2417 0.2417 0.7607
0.2417 0.7607 0.2417
0.7583 0.2393 0.7583
0.7583 0.7583 0.2393
0.7607 0.2417 0.2417
```

## Properties
* VASP energy: -0.6300 Ry per atom
* theoretical density: 6.64 Mg/m³



[8]
An optimized crystal structure of Cs2RbCdHg, computed with PBE-GGA.

```
Cs2RbCdHg
1.0
7.5540 0.0000 0.0000
0.0000 7.5540 0.0000
0.0000 0.0000 6.0274
Cs Rb Cd Hg
2 1 1 1
direct
0.0000 0.5000 0.0000
0.5000 0.0000 0.0000
0.0000 0.0000 0.5000
0.5000 0.5000 0.0000
0.5000 0.5000 0.5000
```

## Properties
* relative energy among the computed polymorphs: 105 meV per atom
* theoretical density: 3.21 Mg/m³



[9]
An optimized crystal structure of TlN2O2, computed with PBE-GGA.

```
TlN2O2
1.0
3.0257 -1.7703 0.0000
3.0257 1.7703 0.0000
-0.3148 0.0000 8.9794
Tl N O
1 2 2
direct
0.0000 0.0000 0.0000
0.0019 0.0019 0.4381
0.9981 0.9981 0.5619
0.3296 0.3296 0.1144
0.6704 0.6704 0.8856
```

## Properties
* relative energy among the computed polymorphs: 0 meV per atom
* theoretical density: 4.56 Mg/m³



[10]
An optimized crystal structure of SmNp2VN4, computed with PBE-GGA.

```
SmNp2VN4
1.0
1.6952 -5.7644 0.0000
1.6952 5.7644 0.0000
0.0000 0.0000 11.5015
Sm Np V N
2 4 2 8
direct
0.1035 0.8965 0.7500
0.8965 0.1035 0.2500
0.3682 0.6318 0.5487
0.3682 0.6318 0.9513
0.6318 0.3682 0.0487
0.6318 0.3682 0.4513
0.1601 0.8399 0.2500
0.8399 0.1601 0.7500
0.0000 0.0000 0.0000
0.0000 0.0000 0.5000
0.2681 0.7319 0.1222
0.2681 0.7319 0.3778
0.4402 0.5598 0.7500
0.5598 0.4402 0.2500
0.7319 0.2681 0.6222
0.7319 0.2681 0.8778
```

## Properties
* VASP energy: -0.7498 Ry per atom
* theoretical density: 10.80 Mg/m³



[11]
An optimized crystal structure of PuSeS2, computed with PBE-GGA.

```
PuSeS2
1.0
1.8608 1.0743 8.3818
-1.8608 1.0743 8.3818
0.0000 -2.1487 8.3818
Pu Se S
1 1 2
direct
0.0000 0.0000 0.0000
0.5000 0.5000 0.5000
0.1063 0.1063 0.1063
0.8937 0.8937 0.8937
```

## Properties
* VASP energy: -0.4630 Ry per atom
* theoretical density: 6.39 Mg/m³



[12]
An optimized crystal structure of Pm2EuBe, computed with PBE-GGA.

```
Pm2EuBe
1.0
1.7523 1.0117 12.0074
-1.7523 1.0117 12.0074
0.0000 -2.0234 12.0074
Pm Eu Be
2 1 1
direct
0.0815 0.0815 0.0815
0.9185 0.9185 0.9185
0.5000 0.5000 0.5000
0.0000 0.0000 0.0000
```

## Properties
* relative energy among the computed polymorphs: 644 meV per atom
* theoretical density: 5.86 Mg/m³



[13]
An optimized crystal structure of La2TlPd9, computed with PBE-GGA.

```
La2TlPd9
1.0
2.7200 1.5704 9.0844
-2.7200 1.5704 9.0844
0.0000 -3.1408 9.0844
La Tl Pd
2 1 9
direct
0.1340 0.1340 0.1340
0.8660 0.8660 0.8660
0.0000 0.0000 0.0000
0.0820 0.5860 0.5860
0.3330 0.3330 0.3330
0.4140 0.4140 0.9180
0.4140 0.9180 0.4140
0.5000 0.5000 0.5000
0.5860 0.0820 0.5860
0.5860 0.5860 0.0820
0.6670 0.6670 0.6670
0.9180 0.4140 0.4140
```

## Properties
* relative energy among the computed polymorphs: 95 meV per atom
* theoretical density: 10.27 Mg/m³



[14]
An optimized crystal structure of PmAgTe4Pb2, computed with PBE-GGA.

```
PmAgTe4Pb2
1.0
7.7908 0.0000 0.0000
0.0000 4.5171 0.0000
-2.7006 0.0000 7.4800
Pm Ag Te Pb
1 1 4 2
direct
0.0000 0.0000 0.0000
0.5000 0.5000 0.0000
0.2467 0.5000 0.2399
0.2634 0.0000 0.7714
0.7366 0.0000 0.2286
0.7533 0.5000 0.7601
0.0000 0.5000 0.5000
0.5000 0.0000 0.5000
```

## Properties
* VASP energy: -0.2982 Ry per atom
* theoretical density: 7.43 Mg/m³



[15]
An optimized crystal structure of CrGaCo3, computed with PBE-GGA.

```
CrGaCo3
1.0
4.2414 0.0000 0.0000
0.0000 4.2414 0.0000
0.0000 0.0000 4.2414
Cr Ga Co
1 1 3
direct
0.0000 0.0000 0.0000
0.5000 0.5000 0.5000
0.0000 0.5000 0.5000
0.5000 0.0000 0.5000
0.5000 0.5000 0.0000
```

## Properties
* relative energy among the computed polymorphs: 321 meV per atom
* theoretical density: 6.50 Mg/m³



[16]
An optimized crystal structure of Tb2SmErSb4, computed with PBE-GGA.

```
Tb2SmErSb4
1.0
7.6324 0.0000 0.0000
0.0000 4.4099 0.0000
-2.5454 0.0000 7.1973
Tb Sm Er Sb
2 1 1 4
direct
0.0000 0.0000 0.0000
0.5000 0.5000 0.0000
0.0000 0.5000 0.5000
0.5000 0.0000 0.5000
0.2541 0.0000 0.7518
0.2537 0.5000 0.2508
0.7459 0.0000 0.2482
0.7463 0.5000 0.7492
```

## Properties
* VASP energy: -0.4056 Ry per atom
* theoretical density: 7.69 Mg/m³



[17]
An optimized crystal structure of Ca2Cu2As, computed with PBE-GGA.

```
Ca2Cu2As
1.0
-1.7726 1.7726 8.5544
1.7726 -1.7726 8.5544
1.7726 1.7726 -8.5544
Ca Cu As
2 2 1
direct
0.1022 0.1022 0.0000
0.8978 0.8978 0.0000
0.2500 0.7500 0.5000
0.7500 0.2500 0.5000
0.5000 0.5000 0.0000
```

## Properties
* relative energy among the computed polymorphs: 0 meV per atom
* theoretical density: 4.36 Mg/m³



[18]
An optimized crystal structure of Gd3InNi, computed with PBE-GGA.

```
Gd3InNi
1.0
5.2511 0.0000 0.0000
0.0000 5.2511 0.0000
0.0000 0.0000 5.2511
Gd In Ni
3 1 1
direct
0.0000 0.0000 0.5000
0.0000 0.5000 0.0000
0.5000 0.0000 0.0000
0.5000 0.5000 0.5000
0.0000 0.0000 0.0000
```

## Properties
* VASP energy: -0.7625 Ry per atom
* theoretical density: 7.40 Mg/m³



[19]
An optimized crystal structure of KLiTa, computed with PBE-GGA.

```
KLiTa
1.0
5.6929 0.0000 0.0000
-2.8464 4.9302 0.0000
0.0000 0.0000 2.7132
K Li Ta
1 1 1
direct
0.0000 0.0000 0.0000
0.6667 0.3333 0.0000
0.3333 0.6667 0.5000
```

## Properties
* relative energy among the computed polymorphs: 375 meV per atom
* theoretical density: 4.95 Mg/m³



[20]
An optimized crystal structure of La2YSe, computed with PBE-GGA.

```
La2YSe
1.0
3.7547 0.0000 0.0000
0.0000 5.4873 0.0000
0.0000 0.0000 5.5562
La Y Se
2 1 1
direct
0.0000 0.0000 0.0000
0.5000 0.5000 0.0000
0.0000 0.5000 0.5000
0.5000 0.0000 0.5000
```

## Properties
* VASP energy: -0.4012 Ry per atom
* theoretical density: 6.46 Mg/m³